Compound: MnNbS2
Source: Alexandria via LeMat-Bulk
Functional: PBE
Structure: optimized geometry

a b c (Å): 6.2718 6.2718 6.2718
angles (deg): 129.22 129.22 74.65
Closest atoms and distances in Å follow each position.
Positions (direct):
Mn 0.0000 0.0000 0.0000  4 S 2.16
Mn 0.7500 0.2500 0.5000  4 S 2.16
Nb 0.2500 0.7500 0.5000  4 S 2.40
Nb 0.5000 0.5000 0.0000  4 S 2.40
S 0.0874 0.6250 0.9624  2 Mn 2.16, 2 Nb 2.40
S 0.3750 0.3374 0.4624  2 Mn 2.16, 2 Nb 2.40
S 0.6626 0.1250 0.0376  2 Mn 2.16, 2 Nb 2.40
S 0.8750 0.9126 0.5376  2 Mn 2.16, 2 Nb 2.40

Results
Symmetry: No. 122
Energy relative to the elements, uncorrected (eV per atom): -0.32
Calculated total energy (eV/atom): -7.196
Crystal system: tetragonal
Mass density (g/cm³): 4.9
ΔE to the lowest computed polymorph (meV/atom): 408

=====

Compound: TlNi2Pd2
Source: Alexandria via LeMat-Bulk
Functional: PBE
Structure: optimized geometry

a b c (Å): 6.7862 6.7862 3.3905
angles (deg): 90.00 90.00 90.00
Closest atoms and distances in Å follow each position.
Positions (direct):
Tl 0.0000 0.0000 0.0000  4 Ni 2.68
Tl 0.5000 0.5000 0.0000  4 Ni 2.68
Ni 0.1259 0.3741 0.0000  1 Ni 2.42, 6 Pd 2.60-2.64, 2 Tl 2.68
Ni 0.3741 0.8741 0.0000  1 Ni 2.42, 6 Pd 2.60-2.64, 2 Tl 2.68
Ni 0.6259 0.1259 0.0000  1 Ni 2.42, 6 Pd 2.60-2.64, 2 Tl 2.68
Ni 0.8741 0.6259 0.0000  1 Ni 2.42, 6 Pd 2.60-2.64, 2 Tl 2.68
Pd 0.1627 0.6627 0.5000  6 Ni 2.60-2.64
Pd 0.3373 0.1627 0.5000  6 Ni 2.60-2.64
Pd 0.6627 0.8373 0.5000  6 Ni 2.60-2.64
Pd 0.8373 0.3373 0.5000  6 Ni 2.60-2.64

Results
Symmetry: No. 127
Calculated total energy (eV/atom): -4.720
Crystal system: tetragonal
Mass density (g/cm³): 11.4
Formation energy from the elements (kJ/mol of atoms): 13.8
ΔE to the lowest computed polymorph (meV/atom): 0

=====

- Which formula does entry 2 have?
  TlNi2Pd2